LaNdMoN4 | PBE | relaxed

Cell: 6.9594 6.9594 6.9594 Å, 146.90 146.90 47.51°
With the nearest neighbours (Å) after each atom.
Positions (direct):
La: 0.0000 0.0000 0.0000  1 N 2.31
Nd: 0.7094 0.7094 0.0000  5 N 2.48-2.65
Mo: 0.3577 0.3577 0.0000  5 N 1.99-2.00
N: 0.1816 0.1816 0.0000  1 Mo 2.24, 1 La 2.31
N: 0.3480 0.8480 0.5000  2 Mo 1.99
N: 0.5145 0.5145 0.0000  1 Mo 2.00
N: 0.8480 0.3480 0.5000  2 Mo 1.99

Summary:
Raw formation energy (eV/atom): -0.971


La2NdMoN4 | PBE | relaxed

Cell: 6.3737 6.3737 12.4234 Å, 90.00 90.00 147.41°
With the nearest neighbours (Å) after each atom.
Positions (direct):
La: 0.1320 0.8680 0.5380  4 N 2.46-2.73
La: 0.1320 0.8680 0.9620  4 N 2.46-2.73
La: 0.8680 0.1320 0.0380  4 N 2.46-2.73
La: 0.8680 0.1320 0.4620  4 N 2.46-2.73
Nd: 0.3807 0.6193 0.7500  4 N 2.63
Nd: 0.6193 0.3807 0.2500  4 N 2.63
Mo: 0.3475 0.6525 0.2500  4 N 1.99-2.02
Mo: 0.6525 0.3475 0.7500  4 N 1.99-2.02
N: 0.0749 0.9251 0.7500  2 Mo 2.02
N: 0.2302 0.7698 0.1395  1 Mo 1.99
N: 0.2302 0.7698 0.3605  1 Mo 1.99
N: 0.5000 0.5000 0.0000  4 La 2.46
N: 0.5000 0.5000 0.5000  4 La 2.46
N: 0.7698 0.2302 0.6395  1 Mo 1.99
N: 0.7698 0.2302 0.8605  1 Mo 1.99
N: 0.9251 0.0749 0.2500  2 Mo 2.02

Summary:
Raw formation energy (eV/atom): -0.940


La2NpMoN5 | PBE | relaxed

Cell: 7.1892 7.1892 10.7360 Å, 90.00 90.00 151.37°
With the nearest neighbours (Å) after each atom.
Positions (direct):
La: 0.1067 0.8933 0.5000  6 N 2.47-2.68
La: 0.1441 0.8559 0.1244  7 N 2.58-2.76
La: 0.8559 0.1441 0.6244  7 N 2.58-2.76
La: 0.8933 0.1067 0.0000  6 N 2.47-2.68
Np: 0.2071 0.7929 0.8314  6 N 2.22-2.33
Np: 0.7929 0.2071 0.3314  6 N 2.22-2.33
Mo: 0.4762 0.5238 0.2766  3 N 1.86-1.99
Mo: 0.5238 0.4762 0.7766  3 N 1.86-1.99
N: 0.0410 0.9590 0.8560  2 Mo 1.99
N: 0.2814 0.7186 0.4638  2 Np 2.28, 1 La 2.47
N: 0.3200 0.6800 0.2094  2 Np 2.24, 1 Mo 2.29
N: 0.3663 0.6337 0.8210  1 Np 2.22, 1 Mo 2.25
N: 0.4892 0.5108 0.6089  1 Mo 1.86
N: 0.5108 0.4892 0.1089  1 Mo 1.86
N: 0.6337 0.3663 0.3210  1 Np 2.22, 1 Mo 2.25
N: 0.6800 0.3200 0.7094  2 Np 2.24, 1 Mo 2.29
N: 0.7186 0.2814 0.9638  2 Np 2.28, 1 La 2.47
N: 0.9590 0.0410 0.3560  2 Mo 1.99

Summary:
Raw formation energy (eV/atom): -1.094